A plane-wave DFT calculation with PBE was carried out for a relaxed MgCuO2F crystal. Values from VASP.

Structure (Quantum ESPRESSO input):
```
&SYSTEM
  ibrav = 0, nat = 5, ntyp = 4
/
ATOMIC_SPECIES
Mg 24.30 Mg.upf
Cu 63.55 Cu.upf
O 16.00 O.upf
F 19.00 F.upf
CELL_PARAMETERS angstrom
3.948 0.000 0.000
0.000 3.948 0.000
0.000 0.000 3.764
ATOMIC_POSITIONS angstrom
Mg 0.000 0.000 0.000
Cu 1.974 1.974 1.882
O 0.000 1.974 0.000
O 1.974 0.000 0.000
F 0.000 0.000 1.882
```


A plane-wave DFT calculation with PBE was carried out for a relaxed MgCuPdF6 crystal. Values from VASP.

Structure (Quantum ESPRESSO input):
```
&SYSTEM
  ibrav = 0, nat = 18, ntyp = 4
/
ATOMIC_SPECIES
Mg 24.30 Mg.upf
Cu 63.55 Cu.upf
Pd 106.42 Pd.upf
F 19.00 F.upf
CELL_PARAMETERS angstrom
4.808 0.000 0.000
0.000 4.808 0.000
0.000 0.000 9.760
ATOMIC_POSITIONS angstrom
Mg 0.000 0.000 0.000
Mg 2.404 2.404 4.880
Cu 0.000 0.000 3.258
Cu 2.404 2.404 8.138
Pd 0.000 0.000 6.513
Pd 2.404 2.404 1.632
F 0.891 0.891 1.599
F 0.971 0.971 8.249
F 0.986 0.986 4.819
F 1.418 3.389 9.699
F 1.433 3.375 3.369
F 1.513 3.294 6.479
F 3.294 1.513 6.479
F 3.375 1.433 3.369
F 3.389 1.418 9.699
F 3.822 3.822 4.819
F 3.837 3.837 8.249
F 3.917 3.917 1.599
```


A plane-wave DFT calculation with PBE was carried out for a relaxed Rb2MgCu2F6 crystal. Values from VASP.

Structure (Quantum ESPRESSO input):
```
&SYSTEM
  ibrav = 0, nat = 11, ntyp = 4
/
ATOMIC_SPECIES
Rb 85.47 Rb.upf
Mg 24.30 Mg.upf
Cu 63.55 Cu.upf
F 19.00 F.upf
CELL_PARAMETERS angstrom
3.087 1.782 5.491
-3.087 1.782 5.491
0.000 -3.565 5.491
ATOMIC_POSITIONS angstrom
Rb 0.000 0.000 3.691
Rb 0.000 0.000 12.783
Mg 0.000 0.000 0.000
Cu 0.000 0.000 6.978
Cu 0.000 0.000 9.496
F 0.000 -1.966 6.722
F -1.703 0.983 6.722
F -1.703 -0.983 9.752
F 1.703 0.983 6.722
F 1.703 -0.983 9.752
F 0.000 1.966 9.752
```


A plane-wave DFT calculation with PBE was carried out for a relaxed RbMg2CuF8 crystal. Values from VASP.

Structure (Quantum ESPRESSO input):
```
&SYSTEM
  ibrav = 0, nat = 12, ntyp = 4
/
ATOMIC_SPECIES
Rb 85.47 Rb.upf
Mg 24.30 Mg.upf
Cu 63.55 Cu.upf
F 19.00 F.upf
CELL_PARAMETERS angstrom
5.106 0.000 0.000
1.248 4.961 0.000
1.658 1.307 6.915
ATOMIC_POSITIONS angstrom
Rb 0.000 0.000 0.000
Mg 3.239 2.529 1.581
Mg 4.774 3.739 5.334
Cu 0.829 0.654 3.457
F 3.093 4.609 4.788
F 2.313 1.790 3.146
F 2.786 4.363 2.139
F 2.225 1.716 0.092
F 5.788 4.552 6.822
F 5.227 1.905 4.776
F 5.700 4.478 3.769
F 4.920 1.659 2.127
```


Energy relative to the elements, uncorrected, respectively: -0.9737; -2.0142; -2.2961; -2.6154 eV per atom.